12
Lattice="-2.276 -3.053 8.732 4.277 -3.541 -2.795 4.463 7.589 -0.044" Properties=species:S:1:pos:R:3 comment="KTiCl4 | Alexandria via LeMat-Bulk | PBE-GGA | optimized geometry" relative_energy_ev_per_atom=0.000 e_tot_ev_per_atom=-4.444 formation_energy_uncorrected_mev_per_atom=-1714.3 spacegroup="C2/c (15)" vol_a3_per_atom=34.197 pbc="T T T"
Cl 4.718 2.028 0.269
K 1.676 -2.451 0.842
Cl 5.538 -0.779 -1.834
Cl 0.927 1.773 7.727
Cl 2.108 0.130 -0.863
K 4.790 3.445 5.051
Cl 3.596 4.749 2.475
Cl 1.747 -1.034 5.624
Ti 0.425 -0.616 7.690
Cl 2.869 -3.755 3.418
Cl 4.357 0.864 6.756
Ti 6.040 1.610 -1.797

8
Lattice="-3.875 2.383 0.670 -1.782 -3.550 2.317 0.830 3.023 9.834" Properties=species:S:1:pos:R:3 comment="KTi2Cl | Alexandria via LeMat-Bulk | PBE-GGA | optimized geometry" relative_energy_ev_per_atom=0.000 e_tot_ev_per_atom=-4.241 formation_energy_uncorrected_mev_per_atom=442.3 spacegroup="I4_1/amd (141)" vol_a3_per_atom=25.893 pbc="T T T"
Ti -1.469 1.205 2.999
K -2.937 2.411 5.998
Ti -2.360 -0.569 4.158
Ti -3.883 2.133 9.409
Cl -2.829 -0.584 1.493
K 0.000 0.000 0.000
Ti -1.945 0.942 9.075
Cl -1.891 -0.555 6.822

10
Lattice="7.561 0.000 0.000 3.781 6.548 0.000 3.780 2.183 6.409" Properties=species:S:1:pos:R:3 comment="K2TiTlCl6 | Alexandria via LeMat-Bulk | PBE-GGA | optimized geometry" e_tot_ev_per_atom=-3.977 formation_energy_uncorrected_mev_per_atom=-1623.5 spacegroup="R3 (146)" vol_a3_per_atom=31.729 pbc="T T T"
K 3.780 2.183 5.902
Tl 11.341 6.548 3.585
Cl 2.522 0.586 1.540
Ti 3.780 2.183 0.196
Cl 5.606 4.589 5.116
Cl 8.345 2.560 5.117
Cl 5.793 1.892 1.539
Cl 3.027 4.071 1.539
Cl 8.732 5.947 5.117
K 7.561 4.365 2.493

10
Lattice="-6.075 3.415 3.073 -6.840 -0.722 -3.273 -5.414 -4.157 3.363" Properties=species:S:1:pos:R:3 comment="KTiTl2Cl6 | Alexandria via LeMat-Bulk | PBE-GGA | optimized geometry" e_tot_ev_per_atom=-3.918 formation_energy_uncorrected_mev_per_atom=-1437.1 spacegroup="R3 (146)" vol_a3_per_atom=31.183 pbc="T T T"
Tl -9.030 -0.115 1.163
Ti -4.346 0.711 0.060
Cl -2.634 -0.436 1.358
Cl -11.369 -2.235 2.019
K -13.527 -0.100 1.695
Cl -5.197 -1.377 -0.860
Cl -8.970 -1.265 4.228
Cl -5.930 0.662 1.909
Tl -5.290 -3.595 2.980
Cl -8.149 -3.240 1.582

12
Lattice="-5.002 -0.792 3.671 0.470 -3.384 5.240 0.904 6.764 8.021" Properties=species:S:1:pos:R:3 comment="KTiZn2Cl8 | Alexandria via LeMat-Bulk | PBE-GGA | optimized geometry" e_tot_ev_per_atom=-3.574 formation_energy_uncorrected_mev_per_atom=-1381.6 spacegroup="R-3 (148)" vol_a3_per_atom=27.933 pbc="T T T"
Cl -0.796 -2.420 7.083
Zn -0.979 0.405 4.083
Cl -0.671 3.048 11.982
Cl -4.267 -1.944 7.973
Cl -0.437 2.234 5.216
Cl -2.957 -0.459 4.950
Cl 0.639 4.533 8.958
K -1.814 1.294 8.466
Zn -2.649 2.184 12.848
Cl -2.831 5.009 9.848
Cl -3.191 0.354 11.716
Ti 0.000 0.000 0.000

15
Lattice="9.108 -0.131 -0.188 -4.447 7.921 0.134 -4.447 -2.624 7.475" Properties=species:S:1:pos:R:3 comment="K3Tl4Cl8 | Alexandria via LeMat-Bulk | PBE-GGA | optimized geometry" e_tot_ev_per_atom=-3.165 formation_energy_uncorrected_mev_per_atom=-1329.8 spacegroup="C2/m (12)" vol_a3_per_atom=35.289 pbc="T T T"
K 2.331 -1.378 3.643
Cl 0.107 5.187 1.897
K 2.331 3.895 -0.027
Cl 2.200 3.952 5.677
Cl -4.447 -0.239 5.815
Cl -1.986 1.213 1.743
Cl 2.088 1.150 1.652
Cl -1.873 4.015 5.768
Cl -4.447 5.536 1.794
Tl 4.554 -0.066 -0.094
K 0.107 2.583 3.710
Cl 0.107 -0.022 5.523
Tl -2.223 -1.312 3.737
Tl -2.223 3.960 0.067
Tl 0.000 0.000 0.000